# 1
VASP calculation (GGA-PBE) on crystalline GdSeClO4 at its relaxed geometry.

```
GdSeClO4
1.0
4.986 -3.553 0.000
4.986 3.553 0.000
-1.740 0.000 6.428
Gd Se Cl O
2 2 2 8
direct
0.222 0.222 0.122
0.778 0.778 0.878
0.363 0.363 0.729
0.637 0.637 0.271
0.017 0.017 0.762
0.983 0.983 0.238
0.130 0.487 0.857
0.279 0.279 0.483
0.468 0.468 0.234
0.487 0.130 0.857
0.513 0.870 0.143
0.532 0.532 0.766
0.721 0.721 0.517
0.870 0.513 0.143
```

Output
V: 227.7 Å³ per cell
total DFT energy (no corrections): -83.443 eV per cell



# 2
VASP calculation (GGA-PBE) on crystalline Gd5Se2Cl3O10 at its relaxed geometry.

```
Gd5Se2Cl3O10
1.0
6.116 -2.733 0.000
6.116 2.733 0.000
-0.225 0.000 9.683
Gd Se Cl O
5 2 3 10
direct
0.000 0.000 0.000
0.291 0.291 0.107
0.394 0.394 0.760
0.606 0.606 0.240
0.709 0.709 0.893
0.081 0.081 0.677
0.919 0.919 0.323
0.170 0.170 0.358
0.500 0.500 0.500
0.830 0.830 0.642
0.108 0.599 0.939
0.188 0.710 0.207
0.218 0.218 0.704
0.290 0.812 0.793
0.401 0.892 0.061
0.599 0.108 0.939
0.710 0.188 0.207
0.782 0.782 0.296
0.812 0.290 0.793
0.892 0.401 0.061
```

Output
V: 323.7 Å³ per cell
total DFT energy (no corrections): -136.844 eV per cell



# 3
VASP calculation (GGA-PBE) on crystalline GdSnClO3 at its relaxed geometry.

```
GdSnClO3
1.0
5.159 -2.020 0.000
5.159 2.020 0.000
-3.153 0.000 9.416
Gd Sn Cl O
2 2 2 6
direct
0.217 0.217 0.193
0.783 0.783 0.807
0.383 0.383 0.571
0.617 0.617 0.429
0.112 0.112 0.899
0.888 0.888 0.101
0.170 0.170 0.430
0.349 0.349 0.761
0.411 0.411 0.371
0.589 0.589 0.629
0.651 0.651 0.239
0.830 0.830 0.570
```

Output
V: 196.2 Å³ per cell
total DFT energy (no corrections): -78.858 eV per cell



# 4
VASP calculation (GGA-PBE) on crystalline Gd2Ta2Cl2O7 at its relaxed geometry.

```
Gd2Ta2Cl2O7
1.0
7.604 -1.949 0.000
7.604 1.949 0.000
-2.817 0.000 6.258
Gd Ta Cl O
2 2 2 7
direct
0.194 0.194 0.164
0.806 0.806 0.836
0.465 0.465 0.199
0.535 0.535 0.801
0.180 0.180 0.565
0.820 0.820 0.435
0.048 0.048 0.845
0.321 0.321 0.065
0.416 0.416 0.843
0.500 0.500 0.500
0.584 0.584 0.157
0.679 0.679 0.935
0.952 0.952 0.155
```

Output
V: 185.5 Å³ per cell
total DFT energy (no corrections): -110.148 eV per cell



# 5
VASP calculation (GGA-PBE) on crystalline Gd3PdCl at its relaxed geometry.

```
Gd3PdCl
1.0
5.109 0.000 0.000
0.000 5.109 0.000
0.000 0.000 5.109
Gd Pd Cl
3 1 1
direct
0.000 0.000 0.500
0.000 0.500 0.000
0.500 0.000 0.000
0.500 0.500 0.500
0.000 0.000 0.000
```

Output
V: 133.3 Å³ per cell
total DFT energy (no corrections): -22.935 eV per cell



# 6
VASP calculation (GGA-PBE) on crystalline GdSCl at its relaxed geometry.

```
GdSCl
1.0
4.072 0.000 0.000
0.000 5.407 0.000
0.000 0.000 7.696
Gd S Cl
2 2 2
direct
0.250 0.250 0.155
0.750 0.750 0.845
0.250 0.750 0.091
0.750 0.250 0.909
0.250 0.750 0.614
0.750 0.250 0.386
```

Output
V: 169.4 Å³ per cell
total DFT energy (no corrections): -34.323 eV per cell



# 7
VASP calculation (GGA-PBE) on crystalline GdSCl at its relaxed geometry.

```
GdSCl
1.0
6.690 0.000 0.000
0.000 6.746 0.000
-1.277 0.000 6.726
Gd S Cl
4 4 4
direct
0.189 0.044 0.294
0.189 0.456 0.794
0.811 0.544 0.206
0.811 0.956 0.706
0.064 0.742 0.511
0.064 0.758 0.011
0.936 0.242 0.989
0.936 0.258 0.489
0.435 0.162 0.665
0.435 0.338 0.165
0.565 0.662 0.835
0.565 0.838 0.335
```

Output
V: 303.6 Å³ per cell
total DFT energy (no corrections): -68.745 eV per cell



# 8
VASP calculation (GGA-PBE) on crystalline SmGdSbCl2 at its relaxed geometry.

```
SmGdSbCl2
1.0
4.225 0.000 0.000
-2.112 3.659 0.000
0.000 0.000 10.621
Sm Gd Sb Cl
1 1 1 2
direct
0.000 0.000 0.000
0.667 0.333 0.662
0.333 0.667 0.828
0.000 0.000 0.519
0.667 0.333 0.147
```

Output
V: 164.2 Å³ per cell
total DFT energy (no corrections): -25.515 eV per cell



# 9
VASP calculation (GGA-PBE) on crystalline TbGdSbCl2 at its relaxed geometry.

```
TbGdSbCl2
1.0
4.191 0.000 0.000
-2.095 3.629 0.000
0.000 0.000 10.552
Tb Gd Sb Cl
1 1 1 2
direct
0.000 0.000 0.000
0.667 0.333 0.663
0.333 0.667 0.833
0.000 0.000 0.517
0.667 0.333 0.145
```

Output
V: 160.5 Å³ per cell
total DFT energy (no corrections): -25.342 eV per cell



# 10
VASP calculation (GGA-PBE) on crystalline GdTmSbCl2 at its relaxed geometry.

```
GdTmSbCl2
1.0
4.152 0.000 0.000
-2.076 3.596 0.000
0.000 0.000 10.480
Gd Tm Sb Cl
1 1 1 2
direct
0.000 0.000 0.000
0.333 0.667 0.336
0.667 0.333 0.173
0.000 0.000 0.479
0.333 0.667 0.852
```

Output
V: 156.5 Å³ per cell
total DFT energy (no corrections): -24.968 eV per cell



# 11
VASP calculation (GGA-PBE) on crystalline GdYSbCl2 at its relaxed geometry.

```
GdYSbCl2
1.0
4.183 0.000 0.000
-2.092 3.623 0.000
0.000 0.000 10.548
Gd Y Sb Cl
1 1 1 2
direct
0.000 0.000 0.000
0.333 0.667 0.337
0.667 0.333 0.170
0.000 0.000 0.481
0.333 0.667 0.854
```

Output
V: 159.9 Å³ per cell
total DFT energy (no corrections): -27.193 eV per cell



# 12
VASP calculation (GGA-PBE) on crystalline SmGdCl3 at its relaxed geometry.

```
SmGdCl3
1.0
7.794 -1.958 0.000
7.794 1.958 0.000
-4.991 0.000 9.169
Sm Gd Cl
2 2 6
direct
0.140 0.140 0.293
0.860 0.860 0.707
0.412 0.412 0.051
0.588 0.588 0.949
0.047 0.047 0.741
0.227 0.227 0.115
0.343 0.343 0.492
0.657 0.657 0.508
0.773 0.773 0.885
0.953 0.953 0.259
```

Output
V: 279.8 Å³ per cell
total DFT energy (no corrections): -48.262 eV per cell



# 13
VASP calculation (GGA-PBE) on crystalline SmGdCl3 at its relaxed geometry.

```
SmGdCl3
1.0
7.794 -1.968 0.000
7.794 1.968 0.000
-4.985 0.000 9.090
Sm Gd Cl
2 2 6
direct
0.089 0.089 0.449
0.911 0.911 0.551
0.360 0.360 0.207
0.640 0.640 0.793
0.160 0.160 0.006
0.270 0.270 0.378
0.457 0.457 0.767
0.543 0.543 0.233
0.730 0.730 0.622
0.840 0.840 0.994
```

Output
V: 278.9 Å³ per cell
total DFT energy (no corrections): -48.251 eV per cell



# 14
VASP calculation (GGA-PBE) on crystalline GdTlCl3 at its relaxed geometry.

```
GdTlCl3
1.0
1.799 -7.506 0.000
1.799 7.506 0.000
0.000 0.000 10.622
Gd Tl Cl
2 2 6
direct
0.000 0.000 0.000
0.000 0.000 0.500
0.266 0.734 0.750
0.734 0.266 0.250
0.033 0.967 0.250
0.365 0.635 0.033
0.365 0.635 0.467
0.635 0.365 0.533
0.635 0.365 0.967
0.967 0.033 0.750
```

Output
V: 286.9 Å³ per cell
total DFT energy (no corrections): -41.298 eV per cell



# 15
VASP calculation (GGA-PBE) on crystalline GdTmCl6 at its relaxed geometry.

```
GdTmCl6
1.0
3.420 -5.939 0.000
3.420 5.939 0.000
-2.303 0.000 6.017
Gd Tm Cl
1 1 6
direct
0.000 0.000 0.000
0.331 0.669 0.000
0.106 0.422 0.240
0.231 0.262 0.758
0.392 0.054 0.245
0.578 0.894 0.760
0.738 0.769 0.242
0.946 0.608 0.755
```

Output
V: 244.5 Å³ per cell
total DFT energy (no corrections): -38.411 eV per cell



# 16
VASP calculation (GGA-PBE) on crystalline GdYCl3 at its relaxed geometry.

```
GdYCl3
1.0
7.724 -1.939 0.000
7.724 1.939 0.000
-4.920 0.000 9.008
Gd Y Cl
2 2 6
direct
0.088 0.088 0.449
0.912 0.912 0.551
0.362 0.362 0.208
0.638 0.638 0.792
0.160 0.160 0.008
0.273 0.273 0.382
0.455 0.455 0.764
0.545 0.545 0.236
0.727 0.727 0.618
0.840 0.840 0.992
```

Output
V: 269.7 Å³ per cell
total DFT energy (no corrections): -51.765 eV per cell
excess energy over the best structure of this formula in the dataset: 2 meV per atom



# 17
VASP calculation (GGA-PBE) on crystalline GdYCl6 at its relaxed geometry.

```
GdYCl6
1.0
3.445 -5.984 0.000
3.445 5.984 0.000
-2.317 0.000 5.999
Gd Y Cl
1 1 6
direct
0.000 0.000 0.000
0.331 0.669 0.000
0.102 0.417 0.243
0.231 0.256 0.757
0.393 0.060 0.246
0.583 0.898 0.757
0.744 0.769 0.243
0.940 0.607 0.754
```

Output
V: 247.3 Å³ per cell
total DFT energy (no corrections): -40.363 eV per cell



# 18
VASP calculation (GGA-PBE) on crystalline GdYCl3 at its relaxed geometry.

```
GdYCl3
1.0
7.746 -1.930 0.000
7.746 1.930 0.000
-4.950 0.000 9.010
Gd Y Cl
2 2 6
direct
0.138 0.138 0.291
0.862 0.862 0.709
0.413 0.413 0.050
0.587 0.587 0.950
0.046 0.046 0.736
0.227 0.227 0.117
0.341 0.341 0.491
0.659 0.659 0.509
0.773 0.773 0.883
0.954 0.954 0.264
```

Output
V: 269.4 Å³ per cell
total DFT energy (no corrections): -51.786 eV per cell
excess energy over the best structure of this formula in the dataset: 0 meV per atom



# 19
VASP calculation (GGA-PBE) on crystalline K2HgGeCl6 at its relaxed geometry.

```
K2HgGeCl6
1.0
0.000 5.265 5.265
5.265 0.000 5.265
5.265 5.265 0.000
K Hg Ge Cl
2 1 1 6
direct
0.250 0.250 0.250
0.750 0.750 0.750
0.000 0.000 0.000
0.500 0.500 0.500
0.254 0.254 0.746
0.254 0.746 0.254
0.254 0.746 0.746
0.746 0.254 0.254
0.746 0.254 0.746
0.746 0.746 0.254
```

Output
V: 291.9 Å³ per cell
total DFT energy (no corrections): -29.949 eV per cell



# 20
VASP calculation (GGA-PBE) on crystalline Tl2HgGeCl6 at its relaxed geometry.

```
Tl2HgGeCl6
1.0
0.000 5.265 5.265
5.265 0.000 5.265
5.265 5.265 0.000
Tl Hg Ge Cl
2 1 1 6
direct
0.250 0.250 0.250
0.750 0.750 0.750
0.000 0.000 0.000
0.500 0.500 0.500
0.254 0.254 0.746
0.254 0.746 0.254
0.254 0.746 0.746
0.746 0.254 0.254
0.746 0.254 0.746
0.746 0.746 0.254
```

Output
V: 291.9 Å³ per cell
total DFT energy (no corrections): -28.667 eV per cell



# 21
VASP calculation (GGA-PBE) on crystalline NdHoGeCl2 at its relaxed geometry.

```
NdHoGeCl2
1.0
4.150 0.000 0.000
-2.075 3.594 0.000
0.000 0.000 9.749
Nd Ho Ge Cl
1 1 1 2
direct
0.000 0.000 0.000
0.667 0.333 0.339
0.333 0.667 0.176
0.000 0.000 0.493
0.667 0.333 0.832
```

Output
V: 145.4 Å³ per cell
total DFT energy (no corrections): -25.779 eV per cell



# 22
VASP calculation (GGA-PBE) on crystalline PrHoGeCl2 at its relaxed geometry.

```
PrHoGeCl2
1.0
4.172 0.000 0.000
-2.086 3.613 0.000
0.000 0.000 9.776
Pr Ho Ge Cl
1 1 1 2
direct
0.000 0.000 0.000
0.333 0.667 0.661
0.667 0.333 0.823
0.000 0.000 0.508
0.333 0.667 0.169
```

Output
V: 147.3 Å³ per cell
total DFT energy (no corrections): -25.762 eV per cell



# 23
VASP calculation (GGA-PBE) on crystalline SmHoGeCl2 at its relaxed geometry.

```
SmHoGeCl2
1.0
4.117 0.000 0.000
-2.059 3.566 0.000
0.000 0.000 9.703
Sm Ho Ge Cl
1 1 1 2
direct
0.000 0.000 0.000
0.667 0.333 0.338
0.333 0.667 0.173
0.000 0.000 0.494
0.667 0.333 0.835
```

Output
V: 142.4 Å³ per cell
total DFT energy (no corrections): -25.766 eV per cell



# 24
VASP calculation (GGA-PBE) on crystalline TbHoGeCl2 at its relaxed geometry.

```
TbHoGeCl2
1.0
4.077 0.000 0.000
-2.039 3.531 0.000
0.000 0.000 9.622
Tb Ho Ge Cl
1 1 1 2
direct
0.000 0.000 0.000
0.667 0.333 0.336
0.333 0.667 0.170
0.000 0.000 0.497
0.667 0.333 0.837
```

Output
V: 138.5 Å³ per cell
total DFT energy (no corrections): -25.695 eV per cell